PBE Tl2HgAs, relaxed; total energy = -0.0864 Ha/atom; energy above the most stable polymorph in this dataset = 0.028 eV/atom; magnetization = 0.000 μB/atom; formation enthalpy at 0 K = 0.070 eV per atom
1.0
-3.5933 0.8557 -3.0035
-0.8574 -5.7702 -0.6182
-5.8867 0.1166 7.0759
Tl Hg As
4 2 2
direct
0.5000 0.7500 0.7837
0.5000 0.2500 0.2163
0.0000 0.2500 0.6595
0.0000 0.7500 0.3405
0.0000 0.5000 0.0000
0.0000 0.0000 0.0000
0.5000 0.0000 0.5000
0.5000 0.5000 0.5000